(w)
Here is a relaxed KReAg2 crystal from Alexandria. Energies are from GGA-PBE.

Summary:
- space-group type = I4_1/amd (141)

Cell: 10.076 10.076 10.076 Å, 149.03 149.03 44.37°
Atoms (fractional coordinates):
K 0.375 0.625 0.750
K 0.625 0.375 0.250
Re 0.125 0.875 0.250
Re 0.875 0.125 0.750
Ag 0.000 0.000 0.000
Ag 0.000 0.000 0.500
Ag 0.000 0.500 0.000
Ag 0.500 0.000 0.500



(x)
Here is a relaxed KReAg2 crystal from Alexandria. Energies are from GGA-PBE.

Summary:
- space-group type = Fm-3m (225)

Cell: 4.973 4.973 4.973 Å, 60.00 60.00 60.00°
Atoms (fractional coordinates):
K 0.000 0.000 0.000
Re 0.500 0.500 0.500
Ag 0.250 0.250 0.250
Ag 0.750 0.750 0.750



(y)
Here is a relaxed KReAg2 crystal from Alexandria. Energies are from GGA-PBE.

Summary:
- space-group type = Imm2 (44)

Cell: 6.416 6.416 6.416 Å, 155.60 130.61 55.83°
Atoms (fractional coordinates):
K 0.000 0.000 0.000
Re 0.282 0.782 0.500
Ag 0.501 0.501 0.000
Ag 0.731 0.231 0.500



Which of them is the most stable? Correct choice: (y).



(w)
Here is a relaxed KRe2Ag crystal from Alexandria. Energies are from GGA-PBE.

Summary:
- space-group type = P4/mmm (123)

Cell: 2.644 2.644 10.590 Å, 90.00 90.00 90.00°
Atoms (fractional coordinates):
K 0.000 0.000 0.000
Re 0.500 0.500 0.281
Re 0.500 0.500 0.719
Ag 0.000 0.000 0.500



(x)
Here is a relaxed KRe2Ag crystal from Alexandria. Energies are from GGA-PBE.

Summary:
- space-group type = P2/m (10)

Cell: 2.676 5.570 5.083 Å, 90.00 94.91 90.00°
Atoms (fractional coordinates):
K 0.000 0.000 0.000
Re 0.327 0.500 0.760
Re 0.673 0.500 0.240
Ag 0.500 0.000 0.500



(y)
Here is a relaxed KRe2Ag crystal from Alexandria. Energies are from GGA-PBE.

Summary:
- space-group type = Cmmm (65)

Cell: 2.703 2.703 10.980 Å, 90.00 90.00 114.54°
Atoms (fractional coordinates):
K 0.000 0.000 0.000
Re 0.500 0.500 0.275
Re 0.500 0.500 0.725
Ag 0.000 0.000 0.500



(z)
Here is a relaxed KRe2Ag crystal from Alexandria. Energies are from GGA-PBE.

Summary:
- space-group type = R-3m (166)

Cell: 11.023 11.023 11.023 Å, 14.51 14.51 14.51°
Atoms (fractional coordinates):
K 0.000 0.000 0.000
Re 0.241 0.241 0.241
Re 0.759 0.759 0.759
Ag 0.500 0.500 0.500



Which of them is the most stable? Correct choice: (y).



(w)
Here is a relaxed KRe2Ag crystal from Alexandria. Energies are from GGA-PBE.

Summary:
- space-group type = I-42d (122)

Cell: 11.282 11.282 11.282 Å, 159.79 159.79 28.74°
Atoms (fractional coordinates):
K 0.000 0.000 0.000
K 0.750 0.250 0.500
Re 0.202 0.625 0.077
Re 0.375 0.452 0.577
Re 0.548 0.125 0.923
Re 0.875 0.798 0.423
Ag 0.250 0.750 0.500
Ag 0.500 0.500 0.000



(x)
Here is a relaxed KRe2Ag crystal from Alexandria. Energies are from GGA-PBE.

Summary:
- space-group type = P4/mmm (123)

Cell: 3.773 3.773 5.375 Å, 90.00 90.00 90.00°
Atoms (fractional coordinates):
K 0.000 0.000 0.000
Re 0.000 0.500 0.500
Re 0.500 0.000 0.500
Ag 0.500 0.500 0.000



Which of them is the most stable? Correct choice: (w).



(w)
Here is a relaxed KRe2Ag crystal from Alexandria. Energies are from GGA-PBE.

Summary:
- space-group type = Imm2 (44)

Cell: 6.028 6.028 6.028 Å, 149.45 123.97 65.17°
Atoms (fractional coordinates):
K 0.000 0.000 0.000
Re 0.306 0.806 0.500
Re 0.472 0.472 0.000
Ag 0.709 0.209 0.500



(x)
Here is a relaxed KRe2Ag crystal from Alexandria. Energies are from GGA-PBE.

Summary:
- space-group type = I4/mmm (139)

Cell: 6.059 6.059 6.059 Å, 143.78 143.78 52.15°
Atoms (fractional coordinates):
K 0.000 0.000 0.000
Re 0.250 0.750 0.500
Re 0.750 0.250 0.500
Ag 0.500 0.500 0.000



(y)
Here is a relaxed KRe2Ag crystal from Alexandria. Energies are from GGA-PBE.

Summary:
- space-group type = Cm (8)

Cell: 4.507 4.507 7.705 Å, 92.31 92.31 34.44°
Atoms (fractional coordinates):
K 0.000 0.000 0.000
Re 0.239 0.239 0.673
Re 0.488 0.488 0.536
Ag 0.757 0.757 0.321



Which of them is the most stable? Correct choice: (y).



(w)
Here is a relaxed KRe2Ag crystal from Alexandria. Energies are from GGA-PBE.

Summary:
- space-group type = P4/mmm (123)

Cell: 3.517 3.517 7.658 Å, 90.00 90.00 90.00°
Atoms (fractional coordinates):
K 0.000 0.000 0.000
Re 0.500 0.500 0.353
Re 0.500 0.500 0.647
Ag 0.000 0.000 0.500



(x)
Here is a relaxed KRe2Ag crystal from Alexandria. Energies are from GGA-PBE.

Summary:
- space-group type = P4mm (99)

Cell: 3.063 3.063 9.015 Å, 90.00 90.00 90.00°
Atoms (fractional coordinates):
K 0.000 0.000 0.000
Re 0.000 0.000 0.466
Re 0.500 0.500 0.320
Ag 0.500 0.500 0.694



(y)
Here is a relaxed KRe2Ag crystal from Alexandria. Energies are from GGA-PBE.

Summary:
- space-group type = Cmm2 (35)

Cell: 2.779 2.779 10.604 Å, 90.00 90.00 114.60°
Atoms (fractional coordinates):
K 0.000 0.000 0.000
Re 0.000 0.000 0.479
Re 0.500 0.500 0.280
Ag 0.500 0.500 0.716



(z)
Here is a relaxed KRe2Ag crystal from Alexandria. Energies are from GGA-PBE.

Summary:
- space-group type = Pmmm (47)

Cell: 2.747 4.827 5.630 Å, 90.00 90.00 90.00°
Atoms (fractional coordinates):
K 0.000 0.000 0.000
Re 0.000 0.500 0.500
Re 0.500 0.000 0.500
Ag 0.500 0.500 0.000



Which of them is the most stable? Correct choice: (x).



(w)
Here is a relaxed KRe2Ag crystal from Alexandria. Energies are from GGA-PBE.

Summary:
- space-group type = Immm (71)

Cell: 6.429 6.429 6.429 Å, 156.07 135.39 51.25°
Atoms (fractional coordinates):
K 0.000 0.000 0.000
Re 0.278 0.778 0.500
Re 0.722 0.222 0.500
Ag 0.500 0.500 0.000



(x)
Here is a relaxed KRe2Ag crystal from Alexandria. Energies are from GGA-PBE.

Summary:
- space-group type = Pmmm (47)

Cell: 2.592 5.397 5.510 Å, 90.00 90.00 90.00°
Atoms (fractional coordinates):
K 0.000 0.000 0.000
Re 0.500 0.233 0.500
Re 0.500 0.767 0.500
Ag 0.000 0.500 0.000



Which of them is the most stable? Correct choice: (w).



(w)
Here is a relaxed KRe2Ag crystal from Alexandria. Energies are from GGA-PBE.

Summary:
- space-group type = F-43m (216)

Cell: 4.656 4.656 4.656 Å, 60.00 60.00 60.00°
Atoms (fractional coordinates):
K 0.000 0.000 0.000
Re 0.250 0.250 0.250
Re 0.500 0.500 0.500
Ag 0.750 0.750 0.750



(x)
Here is a relaxed KRe2Ag crystal from Alexandria. Energies are from GGA-PBE.

Summary:
- space-group type = C2/m (12)

Cell: 6.171 6.171 2.648 Å, 99.50 99.50 127.31°
Atoms (fractional coordinates):
K 0.000 0.000 0.000
Re 0.000 0.500 0.500
Re 0.500 0.000 0.500
Ag 0.500 0.500 0.000



Which of them is the most stable? Correct choice: (x).



(w)
Here is a relaxed KReAg crystal from Alexandria. Energies are from GGA-PBE.

Summary:
- space-group type = Imm2 (44)

Cell: 6.588 6.588 6.588 Å, 156.68 139.39 47.36°
Atoms (fractional coordinates):
K 0.000 0.000 0.000
Re 0.720 0.720 0.000
Ag 0.282 0.282 0.000



(x)
Here is a relaxed KReAg crystal from Alexandria. Energies are from GGA-PBE.

Summary:
- space-group type = I4mm (107)

Cell: 8.357 8.357 8.357 Å, 161.19 161.19 26.72°
Atoms (fractional coordinates):
K 0.000 0.000 0.000
Re 0.676 0.676 0.000
Ag 0.314 0.314 0.000



(y)
Here is a relaxed KReAg crystal from Alexandria. Energies are from GGA-PBE.

Summary:
- space-group type = F-43m (216)

Cell: 5.185 5.185 5.185 Å, 60.00 60.00 60.00°
Atoms (fractional coordinates):
K 0.000 0.000 0.000
Re 0.750 0.750 0.750
Ag 0.250 0.250 0.250



Which of them is the most stable? Correct choice: (x).



(w)
Here is a relaxed KReAg crystal from Alexandria. Energies are from GGA-PBE.

Summary:
- space-group type = F-43m (216)

Cell: 4.979 4.979 4.979 Å, 60.00 60.00 60.00°
Atoms (fractional coordinates):
K 0.000 0.000 0.000
Re 0.500 0.500 0.500
Ag 0.750 0.750 0.750



(x)
Here is a relaxed KReAg crystal from Alexandria. Energies are from GGA-PBE.

Summary:
- space-group type = P3m1 (156)

Cell: 2.837 2.837 8.464 Å, 90.00 90.00 120.00°
Atoms (fractional coordinates):
K 0.000 0.000 0.000
Re 0.667 0.333 0.349
Ag 0.333 0.667 0.639



(y)
Here is a relaxed KReAg crystal from Alexandria. Energies are from GGA-PBE.

Summary:
- space-group type = Fmm2 (42)

Cell: 8.662 8.528 2.752 Å, 83.54 78.06 18.40°
Atoms (fractional coordinates):
K 0.000 0.000 0.000
Re 0.674 0.674 0.326
Ag 0.316 0.316 0.684



Which of them is the most stable? Correct choice: (x).



(w)
Here is a relaxed K2AgRh crystal from Alexandria. Energies are from GGA-PBE.

Summary:
- space-group type = Cmmm (65)

Cell: 3.146 3.146 10.266 Å, 90.00 90.00 90.39°
Atoms (fractional coordinates):
K 0.000 0.000 0.233
K 0.000 0.000 0.767
Ag 0.500 0.500 0.500
Rh 0.500 0.500 0.000



(x)
Here is a relaxed K2AgRh crystal from Alexandria. Energies are from GGA-PBE.

Summary:
- space-group type = P2/m (10)

Cell: 3.080 5.138 6.317 Å, 90.00 91.95 90.00°
Atoms (fractional coordinates):
K 0.004 0.000 0.260
K 0.996 0.000 0.740
Ag 0.500 0.500 0.000
Rh 0.500 0.500 0.500



(y)
Here is a relaxed K2AgRh crystal from Alexandria. Energies are from GGA-PBE.

Summary:
- space-group type = I-42d (122)

Cell: 11.399 11.399 11.399 Å, 158.23 158.23 30.99°
Atoms (fractional coordinates):
K 0.119 0.625 0.994
K 0.375 0.369 0.494
K 0.631 0.125 0.006
K 0.875 0.881 0.506
Ag 0.250 0.750 0.500
Ag 0.500 0.500 0.000
Rh 0.000 0.000 0.000
Rh 0.750 0.250 0.500



(z)
Here is a relaxed K2AgRh crystal from Alexandria. Energies are from GGA-PBE.

Summary:
- space-group type = R-3m (166)

Cell: 11.028 11.028 11.028 Å, 16.73 16.73 16.73°
Atoms (fractional coordinates):
K 0.244 0.244 0.244
K 0.756 0.756 0.756
Ag 0.000 0.000 0.000
Rh 0.500 0.500 0.500



Which of them is the most stable? Correct choice: (w).